# 1
A plane-wave DFT calculation with PBE-GGA was carried out for a relaxed structure of LaBeP2O.

Properties
The excess energy over the best structure of this formula in the dataset comes out at 121.2 kJ per mole of atoms. As for the formation energy (no corrections): 51.88 kJ/mol of atoms.

a = 5.7284 Å, b = 5.7284 Å, c = 4.1515 Å
α = 90.00°, β = 90.00°, γ = 90.00°
Last column: nearest neighbours and their distance in Å.
Space group P4/mmm (No. 123)
Unique sites:
La (0.0000, 0.0000, 0.0000) x1  2 O 2.08
Be (0.5000, 0.5000, 0.5000) x1  8 P 3.54
P (0.0000, 0.5000, 0.0000) x2  2 La 2.86
O (0.0000, 0.0000, 0.5000) x1  2 La 2.08

=====

# 2
A plane-wave DFT calculation with PBE-GGA was carried out for a relaxed structure of LaBePO2.

Properties
The excess energy over the best structure of this formula in the dataset comes out at 0.0 kJ per mole of atoms. As for the formation energy (no corrections): -120.36 kJ/mol of atoms.

a = 4.0378 Å, b = 4.0378 Å, c = 4.0779 Å
α = 90.00°, β = 90.00°, γ = 90.00°
Last column: nearest neighbours and their distance in Å.
Space group P4/mmm (No. 123)
Unique sites:
La (0.0000, 0.0000, 0.0000) x1  4 P 2.86, 8 O 2.87
Be (0.5000, 0.5000, 0.5000) x1  4 O 2.02, 2 P 2.04
P (0.5000, 0.5000, 0.0000) x1  2 Be 2.04
O (0.0000, 0.5000, 0.5000) x2  2 Be 2.02

=====

# 3
A plane-wave DFT calculation with PBE-GGA was carried out for a relaxed structure of LaBe2PO8.

Properties
As for the formation energy (no corrections): -177.31 kJ/mol of atoms.

a = 4.7208 Å, b = 4.7208 Å, c = 6.6639 Å
α = 90.00°, β = 90.00°, γ = 120.00°
Last column: nearest neighbours and their distance in Å.
Space group P-3 (No. 147)
Unique sites:
La (0.0000, 0.0000, 0.0000) x1  12 O 2.67-2.74
Be (0.3333, 0.6667, 0.7198) x2  4 O 1.60-1.64
P (0.0000, 0.0000, 0.5000) x1  6 O 1.67
O (0.0610, 0.3070, 0.6520) x6  1 Be 1.60, 1 P 1.67
O (0.3333, 0.6667, 0.9654) x2  1 Be 1.64

=====

# 4
A plane-wave DFT calculation with PBE-GGA was carried out for a relaxed structure of LaPa2BeO8.

Properties
As for the formation energy (no corrections): -277.61 kJ/mol of atoms.

a = 4.9403 Å, b = 4.9403 Å, c = 6.7236 Å
α = 90.00°, β = 90.00°, γ = 120.00°
Last column: nearest neighbours and their distance in Å.
Space group P-3m1 (No. 164)
Unique sites:
La (0.0000, 0.0000, 0.0000) x1  12 O 2.69-2.89
Pa (0.3333, 0.6667, 0.3602) x2  1 O 1.96
Be (0.0000, 0.0000, 0.5000) x1  6 O 1.78
O (0.1651, 0.3302, 0.6604) x6  1 Be 1.78
O (0.3333, 0.6667, 0.0688) x2  1 Pa 1.96

=====

# 5
A plane-wave DFT calculation with PBE-GGA was carried out for a relaxed structure of LaBe4Pb3O12.

Properties
As for the formation energy (no corrections): -170.82 kJ/mol of atoms.

a = 10.4732 Å, b = 10.4732 Å, c = 8.1931 Å
α = 90.00°, β = 90.00°, γ = 120.00°
Last column: nearest neighbours and their distance in Å.
Space group R32 (No. 155, hexagonal axes)
Unique sites:
La (0.0000, 0.0000, 0.0000) x3  6 O 2.49
Be (0.0000, 0.0000, 0.5000) x3  3 O 1.54
Be (0.0000, 0.4437, 0.5000) x9  3 O 1.55
Pb (0.0000, 0.5483, 0.0000) x9  6 O 2.16-2.23
O (0.0000, 0.5917, 0.5000) x9  1 Be 1.55
O (0.0000, 0.8534, 0.5000) x9  1 Be 1.54
O (0.0277, 0.2058, 0.1768) x18  1 Be 1.55

=====

# 6
A plane-wave DFT calculation with PBE-GGA was carried out for a relaxed structure of La2BePdO6.

Properties
As for the formation energy (no corrections): -221.17 kJ/mol of atoms.

a = 5.5156 Å, b = 5.4676 Å, c = 9.4539 Å
α = 90.00°, β = 125.55°, γ = 90.00°
Last column: nearest neighbours and their distance in Å.
Space group P2_1/c (No. 14)
Unique sites:
La (0.2439, 0.0286, 0.2491) x4  6 O 2.41-2.61
Be (0.0000, 0.0000, 0.5000) x2  6 O 1.88-1.91
Pd (0.5000, 0.0000, 0.0000) x2  6 O 2.04
O (0.1749, 0.2305, 0.9616) x4  1 Be 1.91, 1 Pd 2.04
O (0.2314, 0.7135, 0.9629) x4  1 Be 1.91, 1 Pd 2.04
O (0.3080, 0.0072, 0.7388) x4  1 Be 1.88, 1 Pd 2.04

=====

# 7
A plane-wave DFT calculation with PBE-GGA was carried out for a relaxed structure of LaBePdO2.

Properties
As for the formation energy (no corrections): -126.94 kJ/mol of atoms.

a = 3.9660 Å, b = 3.9660 Å, c = 4.1602 Å
α = 90.00°, β = 90.00°, γ = 90.00°
Last column: nearest neighbours and their distance in Å.
Space group P4/mmm (No. 123)
Unique sites:
La (0.0000, 0.0000, 0.0000) x1  4 Pd 2.80, 8 O 2.87
Be (0.5000, 0.5000, 0.5000) x1  4 O 1.98, 2 Pd 2.08
Pd (0.5000, 0.5000, 0.0000) x1  2 Be 2.08
O (0.0000, 0.5000, 0.5000) x2  2 Be 1.98

=====

# 8
A plane-wave DFT calculation with PBE-GGA was carried out for a relaxed structure of LaBe2PdO.

Properties
As for the formation energy (no corrections): -60.38 kJ/mol of atoms.

a = 3.8979 Å, b = 3.8979 Å, c = 4.9101 Å
α = 90.00°, β = 90.00°, γ = 90.00°
Last column: nearest neighbours and their distance in Å.
Space group P4/mmm (No. 123)
Unique sites:
La (0.0000, 0.0000, 0.0000) x1  2 O 2.46
Be (0.0000, 0.5000, 0.5000) x2  2 O 1.95
Pd (0.5000, 0.5000, 0.0000) x1  4 La 2.76
O (0.0000, 0.0000, 0.5000) x1  4 Be 1.95

=====

# 9
A plane-wave DFT calculation with PBE-GGA was carried out for a relaxed structure of LaBe4Pd3O12.

Properties
As for the formation energy (no corrections): -146.30 kJ/mol of atoms.

a = 10.0877 Å, b = 10.0877 Å, c = 7.5299 Å
α = 90.00°, β = 90.00°, γ = 120.00°
Last column: nearest neighbours and their distance in Å.
Space group R32 (No. 155, hexagonal axes)
Unique sites:
La (0.0000, 0.0000, 0.0000) x3  6 O 2.45
Be (0.0000, 0.0000, 0.5000) x3  3 O 1.56
Be (0.0000, 0.4277, 0.5000) x9  3 O 1.53-1.57
Pd (0.0000, 0.5655, 0.0000) x9  6 O 1.99-2.04
O (0.0000, 0.5836, 0.5000) x9  1 Be 1.57
O (0.0000, 0.8456, 0.5000) x9  1 Be 1.56
O (0.0469, 0.2206, 0.1820) x18  1 Be 1.53

=====

# 10
A plane-wave DFT calculation with PBE-GGA was carried out for a relaxed structure of La2BePtO6.

Properties
As for the formation energy (no corrections): -224.66 kJ/mol of atoms.

a = 5.5213 Å, b = 5.4840 Å, c = 9.4790 Å
α = 90.00°, β = 125.31°, γ = 90.00°
Last column: nearest neighbours and their distance in Å.
Space group P2_1/c (No. 14)
Unique sites:
La (0.2430, 0.0317, 0.2489) x4  6 O 2.41-2.62
Be (0.0000, 0.0000, 0.5000) x2  6 O 1.89-1.91
Pt (0.5000, 0.0000, 0.0000) x2  6 O 2.05-2.06
O (0.1700, 0.2275, 0.9605) x4  1 Be 1.91, 1 Pt 2.06
O (0.2322, 0.7104, 0.9614) x4  1 Be 1.91, 1 Pt 2.05
O (0.3104, 0.0082, 0.7390) x4  1 Be 1.89, 1 Pt 2.06

=====

# 11
A plane-wave DFT calculation with PBE-GGA was carried out for a relaxed structure of LaPu2BeO8.

Properties
As for the formation energy (no corrections): -252.19 kJ/mol of atoms.

a = 6.5761 Å, b = 7.4038 Å, c = 6.8290 Å
α = 90.00°, β = 90.00°, γ = 90.00°
Last column: nearest neighbours and their distance in Å.
Space group Cmmm (No. 65)
Unique sites:
La (0.0000, 0.0000, 0.0000) x2  6 O 2.40-2.42
Pu (0.0000, 0.5000, 0.2654) x4  6 O 2.05-2.22
Be (0.0000, 0.0000, 0.5000) x2  4 O 1.85
O (0.0000, 0.3187, 0.5000) x4  2 Pu 2.09
O (0.0000, 0.3273, 0.0000) x4  2 Pu 2.22, 1 La 2.42
O (0.1909, 0.0000, 0.3001) x8  1 Be 1.85, 1 Pu 2.05

=====

# 12
A plane-wave DFT calculation with PBE-GGA was carried out for a relaxed structure of RbLaBe2O.

Properties
As for the formation energy (no corrections): 187.87 kJ/mol of atoms.

a = 4.4735 Å, b = 4.4735 Å, c = 6.7380 Å
α = 90.00°, β = 90.00°, γ = 90.00°
Last column: nearest neighbours and their distance in Å.
Space group P4/mmm (No. 123)
Unique sites:
Rb (0.0000, 0.0000, 0.0000) x1  4 Be 2.24
La (0.0000, 0.0000, 0.5000) x1  4 O 3.16, 2 Rb 3.37
Be (0.0000, 0.5000, 0.0000) x2  2 Rb 2.24
O (0.5000, 0.5000, 0.5000) x1  4 La 3.16

=====

# 13
A plane-wave DFT calculation with PBE-GGA was carried out for a relaxed structure of LaBeS2O8.

Properties
As for the formation energy (no corrections): -165.61 kJ/mol of atoms.

a = 5.0865 Å, b = 5.0865 Å, c = 6.6214 Å
α = 90.00°, β = 90.00°, γ = 120.00°
Last column: nearest neighbours and their distance in Å.
Space group P-3m1 (No. 164)
Unique sites:
La (0.0000, 0.0000, 0.0000) x1  6 O 2.58
Be (0.0000, 0.0000, 0.5000) x1  6 O 1.85
S (0.3333, 0.6667, 0.2722) x2  4 O 1.52-1.54
O (0.1631, 0.3261, 0.3234) x6  1 S 1.54
O (0.3333, 0.6667, 0.0430) x2  1 S 1.52

=====

# 14
A plane-wave DFT calculation with PBE-GGA was carried out for a relaxed structure of LaSc2BeO.

Properties
As for the formation energy (no corrections): -58.22 kJ/mol of atoms.

a = 4.3158 Å, b = 4.3158 Å, c = 5.5803 Å
α = 90.00°, β = 90.00°, γ = 90.00°
Last column: nearest neighbours and their distance in Å.
Space group P4/mmm (No. 123)
Unique sites:
La (0.0000, 0.0000, 0.0000) x1  4 Be 3.05
Sc (0.0000, 0.5000, 0.5000) x2  2 O 2.16
Be (0.5000, 0.5000, 0.0000) x1  2 O 2.79, 4 La 3.05
O (0.5000, 0.5000, 0.5000) x1  4 Sc 2.16

=====

# 15
A plane-wave DFT calculation with PBE-GGA was carried out for a relaxed structure of LaBeSe2O.

Properties
As for the formation energy (no corrections): 84.52 kJ/mol of atoms.

a = 5.6890 Å, b = 5.6890 Å, c = 6.3808 Å
α = 90.00°, β = 90.00°, γ = 90.00°
Last column: nearest neighbours and their distance in Å.
Space group P4/mmm (No. 123)
Unique sites:
La (0.0000, 0.0000, 0.0000) x1  4 Se 2.84
Be (0.0000, 0.0000, 0.5000) x1  2 La 3.19
Se (0.0000, 0.5000, 0.0000) x2  2 La 2.84
O (0.5000, 0.5000, 0.5000) x1  4 Be 4.02, 8 Se 4.27

=====

# 16
A plane-wave DFT calculation with PBE-GGA was carried out for a relaxed structure of LaBe4Sn3O12.

Properties
As for the formation energy (no corrections): -208.05 kJ/mol of atoms.

a = 10.2545 Å, b = 10.2545 Å, c = 7.8568 Å
α = 90.00°, β = 90.00°, γ = 120.00°
Last column: nearest neighbours and their distance in Å.
Space group R32 (No. 155, hexagonal axes)
Unique sites:
La (0.0000, 0.0000, 0.0000) x3  6 O 2.48
Be (0.0000, 0.0000, 0.5000) x3  3 O 1.55
Be (0.0000, 0.4400, 0.5000) x9  3 O 1.54-1.55
Sn (0.0000, 0.5550, 0.0000) x9  6 O 2.05-2.12
O (0.0000, 0.5916, 0.5000) x9  1 Be 1.55
O (0.0000, 0.8491, 0.5000) x9  1 Be 1.55
O (0.0360, 0.2133, 0.1827) x18  1 Be 1.54

=====

# 17
A plane-wave DFT calculation with PBE-GGA was carried out for a relaxed structure of SrLa2BeO5.

Properties
As for the formation energy (no corrections): -303.03 kJ/mol of atoms.

a = 9.7777 Å, b = 6.7166 Å, c = 7.4029 Å
α = 90.00°, β = 90.00°, γ = 90.00°
Last column: nearest neighbours and their distance in Å.
Space group Pna2_1 (No. 33)
Unique sites:
Sr (0.1751, 0.0817, 0.0000) x4  9 O 2.59-2.90, 1 Be 2.80
La (0.0229, 0.5942, 0.7652) x4  7 O 2.41-2.63
La (0.1714, 0.0712, 0.5487) x4  6 O 2.42-2.69
Be (0.1016, 0.8075, 0.2678) x4  4 O 1.63-1.71
O (0.0120, 0.0175, 0.2690) x4  1 Be 1.66
O (0.0685, 0.6956, 0.4586) x4  1 Be 1.63
O (0.0690, 0.6883, 0.0791) x4  1 Be 1.64
O (0.2234, 0.3412, 0.2586) x4  2 La 2.42-2.45, 2 Sr 2.61-2.63
O (0.2282, 0.3635, 0.7679) x4  1 Be 1.71

=====

# 18
A plane-wave DFT calculation with PBE-GGA was carried out for a relaxed structure of LaBeTcO2.

Properties
As for the formation energy (no corrections): -21.65 kJ/mol of atoms.

a = 3.9168 Å, b = 3.9168 Å, c = 5.9716 Å
α = 90.00°, β = 90.00°, γ = 90.00°
Last column: nearest neighbours and their distance in Å.
Space group P4/mmm (No. 123)
Unique sites:
La (0.0000, 0.0000, 0.0000) x1  4 Be 2.77, 2 Tc 2.99
Be (0.5000, 0.5000, 0.0000) x1  4 La 2.77
Tc (0.0000, 0.0000, 0.5000) x1  4 O 1.96
O (0.0000, 0.5000, 0.5000) x2  2 Tc 1.96

=====

# 19
A plane-wave DFT calculation with PBE-GGA was carried out for a relaxed structure of La2BeTcO6.

Properties
As for the formation energy (no corrections): -240.14 kJ/mol of atoms.

a = 5.4312 Å, b = 5.4312 Å, c = 27.3836 Å
α = 90.00°, β = 90.00°, γ = 120.00°
Last column: nearest neighbours and their distance in Å.
Space group R-3m (No. 166, hexagonal axes)
Unique sites:
La (0.0000, 0.0000, 0.1317) x6  9 O 2.58-2.72
La (0.0000, 0.0000, 0.2913) x6  12 O 2.72-2.82
Be (0.0000, 0.0000, 0.0000) x3  6 O 1.84
Be (0.0000, 0.0000, 0.5000) x3  6 O 1.89
Tc (0.0000, 0.0000, 0.4129) x6  6 O 1.98-2.03
O (0.0034, 0.5017, 0.1271) x18  1 Be 1.89, 1 Tc 2.03
O (0.0120, 0.5060, 0.7051) x18  1 Be 1.84, 1 Tc 1.98

=====

# 20
A plane-wave DFT calculation with PBE-GGA was carried out for a relaxed structure of LaBeTeO6.

Properties
As for the formation energy (no corrections): -179.99 kJ/mol of atoms.

a = 5.0162 Å, b = 5.0162 Å, c = 5.2761 Å
α = 90.00°, β = 90.00°, γ = 120.00°
Last column: nearest neighbours and their distance in Å.
Space group P312 (No. 149)
Unique sites:
La (0.0000, 0.0000, 0.0000) x1  6 O 2.45
Be (0.3333, 0.6667, 0.5000) x1  6 O 1.88
Te (0.6667, 0.3333, 0.5000) x1  6 O 1.94
O (0.0090, 0.3807, 0.2948) x6  1 Be 1.88, 1 Te 1.94